# In2GaAg | the Alexandria database | GGA-PBE | relaxed
data_In2GaAg
_symmetry_space_group_name_H-M 'I -4 2 d'
_symmetry_Int_Tables_number 122
_symmetry_space_group_name_Hall 'I -4 2bw'
_cell_length_a 4.3896
_cell_length_b 4.3896
_cell_length_c 19.6755
_cell_angle_alpha 90.00
_cell_angle_beta 90.00
_cell_angle_gamma 90.00
loop_
_atom_site_label
_atom_site_type_symbol
_atom_site_fract_x
_atom_site_fract_y
_atom_site_fract_z
_atom_site_occupancy
In1 In 0.2468 0.2500 0.1250 1
Ga1 Ga 0.0000 0.0000 0.5000 1
Ag1 Ag 0.0000 0.0000 0.0000 1
# **Formation energy from the elements**: 115 meV/atom